DFT (PBE-GGA) results for a relaxed structure of CuRe3.

Computed properties:
The formation energy is 380 meV/atom.

Lattice parameters (Å, degrees): 8.7099 8.7099 2.6584 90.00 90.00 120.00
Space group R-3m (No. 166, hexagonal axes)
Unique sites:
Cu1 0.0000 0.0000 0.0000
Re1 0.0000 0.5000 0.0000